[1]
{
  "formula": "Mg2PtRh",
  "functional": "PBE",
  "state": "relaxed",
  "m_tot_mub_per_fu": 0.6,
  "sg": "No. 160",
  "density_g_cm3": 8.56,
  "e_form_ev_per_fu": -0.71,
  "lattice": [[-1.229, 8.009, 4.712], [-3.296, 8.348, 2.703], [-3.854, 6.841, 5.120]],
  "species": ["Mg", "Mg", "Pt", "Rh"],
  "fractional_positions": [[0.008, 0.008, 0.008], [0.243, 0.243, 0.243], [0.499, 0.499, 0.499], [0.750, 0.750, 0.750]]
}

[2]
{
  "formula": "MgPt2Rh2",
  "functional": "PBE",
  "state": "relaxed",
  "m_tot_mub_per_fu": 0.0,
  "sg": "No. 127",
  "density_g_cm3": 12.48,
  "e_form_ev_per_fu": -0.38,
  "lattice": [[-6.343, -1.254, 2.394], [-0.901, -4.777, -4.889], [1.284, -2.423, 2.131]],
  "species": ["Mg", "Mg", "Rh", "Rh", "Rh", "Rh", "Pt", "Pt", "Pt", "Pt"],
  "fractional_positions": [[0.000, 0.000, 0.000], [0.500, 0.500, 0.000], [0.159, 0.659, 0.500], [0.659, 0.841, 0.500], [0.841, 0.341, 0.500], [0.341, 0.159, 0.500], [0.363, 0.863, 0.000], [0.863, 0.637, 0.000], [0.637, 0.137, 0.000], [0.137, 0.363, 0.000]]
}

[3]
{
  "formula": "MgPt2Rh2",
  "functional": "PBE",
  "state": "relaxed",
  "m_tot_mub_per_fu": 0.0,
  "sg": "No. 127",
  "density_g_cm3": 12.55,
  "e_form_ev_per_fu": -0.51,
  "lattice": [[7.596, 0.000, 0.000], [0.000, 7.596, 0.000], [0.000, 0.000, 2.846]],
  "species": ["Mg", "Mg", "Rh", "Rh", "Rh", "Rh", "Pt", "Pt", "Pt", "Pt"],
  "fractional_positions": [[0.000, 0.000, 0.000], [0.500, 0.500, 0.000], [0.378, 0.878, 0.000], [0.878, 0.622, 0.000], [0.622, 0.122, 0.000], [0.122, 0.378, 0.000], [0.177, 0.677, 0.500], [0.677, 0.823, 0.500], [0.823, 0.323, 0.500], [0.323, 0.177, 0.500]]
}

[4]
{
  "formula": "Mg5Pt4Rh",
  "functional": "PBE",
  "state": "relaxed",
  "m_tot_mub_per_fu": 0.0,
  "sg": "No. 123",
  "density_g_cm3": 10.62,
  "e_form_ev_per_fu": -7.89,
  "lattice": [[3.202, 0.000, 0.000], [0.000, 3.202, 0.000], [0.000, 0.000, 15.322]],
  "species": ["Mg", "Mg", "Mg", "Mg", "Mg", "Pt", "Pt", "Pt", "Pt", "Rh"],
  "fractional_positions": [[0.500, 0.500, 0.096], [0.500, 0.500, 0.299], [0.500, 0.500, 0.500], [0.500, 0.500, 0.701], [0.500, 0.500, 0.904], [0.000, 0.000, 0.199], [0.000, 0.000, 0.400], [0.000, 0.000, 0.600], [0.000, 0.000, 0.801], [0.000, 0.000, 0.000]]
}

[5]
{
  "formula": "Mg2PtRh",
  "functional": "PBE",
  "state": "relaxed",
  "m_tot_mub_per_fu": 0.0,
  "sg": "No. 216",
  "density_g_cm3": 8.92,
  "e_form_ev_per_fu": -1.71,
  "lattice": [[-3.277, -0.693, 3.008], [-3.272, -2.964, -0.879], [-0.188, -3.884, 2.269]],
  "species": ["Mg", "Mg", "Pt", "Rh"],
  "fractional_positions": [[0.000, 0.000, 0.000], [0.250, 0.250, 0.250], [0.500, 0.500, 0.500], [0.750, 0.750, 0.750]]
}

[6]
{
  "formula": "Mg2PtRh",
  "functional": "PBE",
  "state": "relaxed",
  "m_tot_mub_per_fu": 0.0,
  "sg": "No. 123",
  "density_g_cm3": 9.33,
  "e_form_ev_per_fu": -2.81,
  "lattice": [[-0.714, -2.771, -1.418], [1.681, -2.186, 3.424], [-3.941, 0.019, 1.947]],
  "species": ["Mg", "Mg", "Rh", "Pt"],
  "fractional_positions": [[0.000, 0.000, 0.500], [0.000, 0.500, 0.000], [0.500, 0.500, 0.500], [0.500, 0.000, 0.000]]
}

[7]
{
  "formula": "Mg4PtRh",
  "functional": "PBE",
  "state": "relaxed",
  "m_tot_mub_per_fu": 0.0,
  "sg": "No. 12",
  "density_g_cm3": 6.23,
  "e_form_ev_per_fu": -3.23,
  "lattice": [[3.157, 0.000, 0.913], [1.882, 5.230, -0.593], [-0.251, -2.192, 6.781]],
  "species": ["Mg", "Mg", "Mg", "Mg", "Pt", "Rh"],
  "fractional_positions": [[0.825, 0.531, 0.820], [0.320, 0.035, 0.325], [0.175, 0.469, 0.180], [0.680, 0.965, 0.675], [0.000, 0.000, 0.000], [0.500, 0.500, 0.500]]
}

[8]
{
  "formula": "Mg2PtRh2",
  "functional": "PBE",
  "state": "relaxed",
  "m_tot_mub_per_fu": 0.0,
  "sg": "No. 139",
  "density_g_cm3": 8.37,
  "e_form_ev_per_fu": -0.43,
  "lattice": [[3.464, -1.927, 6.654], [-0.606, 0.649, 7.694], [-2.732, -1.451, -7.100]],
  "species": ["Mg", "Mg", "Pt", "Rh", "Rh"],
  "fractional_positions": [[0.599, 0.599, 0.000], [0.401, 0.401, 0.000], [0.000, 0.000, 0.000], [0.250, 0.750, 0.500], [0.750, 0.250, 0.500]]
}

[9]
{
  "formula": "Mg5PtRh4",
  "functional": "PBE",
  "state": "relaxed",
  "m_tot_mub_per_fu": 0.0,
  "sg": "No. 123",
  "density_g_cm3": 7.91,
  "e_form_ev_per_fu": -5.55,
  "lattice": [[-0.576, 1.650, -2.591], [-2.626, -1.632, -0.456], [-7.976, 10.479, 8.442]],
  "species": ["Mg", "Mg", "Mg", "Mg", "Mg", "Pt", "Rh", "Rh", "Rh", "Rh"],
  "fractional_positions": [[0.500, 0.500, 0.105], [0.500, 0.500, 0.302], [0.500, 0.500, 0.500], [0.500, 0.500, 0.698], [0.500, 0.500, 0.895], [0.000, 0.000, 0.000], [0.000, 0.000, 0.203], [0.000, 0.000, 0.401], [0.000, 0.000, 0.599], [0.000, 0.000, 0.797]]
}

[10]
{
  "formula": "Mg2PtRh",
  "functional": "PBE",
  "state": "relaxed",
  "m_tot_mub_per_fu": 0.0,
  "sg": "No. 44",
  "density_g_cm3": 8.97,
  "e_form_ev_per_fu": -2.13,
  "lattice": [[5.421, 0.034, 0.045], [2.743, 4.676, -0.045], [-3.677, -3.058, 2.554]],
  "species": ["Mg", "Mg", "Pt", "Rh"],
  "fractional_positions": [[0.014, 0.014, 0.000], [0.737, 0.237, 0.500], [0.495, 0.495, 0.000], [0.254, 0.754, 0.500]]
}

[11]
{
  "formula": "MgPt6Rh2",
  "functional": "PBE",
  "state": "relaxed",
  "m_tot_mub_per_fu": 0.0,
  "sg": "No. 15",
  "density_g_cm3": 16.19,
  "e_form_ev_per_fu": -0.79,
  "lattice": [[-0.361, 1.134, 5.029], [-6.383, -6.190, -1.176], [-0.115, -8.968, -0.099]],
  "species": ["Mg", "Mg", "Pt", "Pt", "Pt", "Pt", "Pt", "Pt", "Pt", "Pt", "Pt", "Pt", "Pt", "Pt", "Rh", "Rh", "Rh", "Rh"],
  "fractional_positions": [[0.250, 0.178, 0.822], [0.750, 0.822, 0.178], [0.571, 0.584, 0.582], [0.929, 0.418, 0.416], [0.429, 0.416, 0.418], [0.071, 0.582, 0.584], [0.895, 0.961, 0.373], [0.605, 0.627, 0.039], [0.105, 0.039, 0.627], [0.395, 0.373, 0.961], [0.165, 0.755, 0.054], [0.335, 0.946, 0.245], [0.835, 0.245, 0.946], [0.665, 0.054, 0.755], [0.406, 0.811, 0.654], [0.094, 0.346, 0.189], [0.594, 0.189, 0.346], [0.906, 0.654, 0.811]]
}

[12]
{
  "formula": "Mg2Pt8Rh",
  "functional": "PBE",
  "state": "relaxed",
  "m_tot_mub_per_fu": 0.0,
  "sg": "No. 71",
  "density_g_cm3": 15.60,
  "e_form_ev_per_fu": -3.52,
  "lattice": [[3.763, 0.000, -1.145], [-1.213, 7.018, -3.986], [0.147, -0.611, 7.237]],
  "species": ["Mg", "Mg", "Pt", "Pt", "Pt", "Pt", "Pt", "Pt", "Pt", "Pt", "Rh"],
  "fractional_positions": [[0.144, 0.644, 0.289], [0.856, 0.356, 0.711], [0.665, 0.920, 0.329], [0.335, 0.591, 0.671], [0.181, 0.181, 0.361], [0.000, 0.234, 0.000], [0.819, 0.819, 0.639], [0.665, 0.409, 0.329], [0.335, 0.080, 0.671], [0.000, 0.766, 0.000], [0.500, 0.000, 0.000]]
}